BaCuWO5 | PBE with a Hubbard U | optimized geometry

Cell lengths 3.850, 3.850, 8.328 Å; angles 90.00, 90.00, 90.00 degrees
Space group P4mm (No. 99)
Inequivalent atoms, fractional coordinates:
Ba  0.000  0.000  0.000 x1
Cu  0.500  0.500  0.238 x1
W  0.500  0.500  0.612 x1
O  0.000  0.500  0.200 x2
O  0.000  0.500  0.582 x2
O  0.500  0.500  0.828 x1

## Properties
* crystal system: tetragonal
* energy above the most stable polymorph in this dataset: 305 meV/atom
* Fermi-level density of states: 0.80 states/eV/f.u.